# LiCo2Mo (PBE-GGA, optimized geometry)
# Crystal system   tetragonal
# Energy of formation from the pure elements   72 kJ/mol of formula units
# Space group   P4/mmm
data_LiCo2Mo
_symmetry_space_group_name_H-M 'P 1'
_symmetry_Int_Tables_number 1
_cell_length_a 2.883
_cell_length_b 2.883
_cell_length_c 5.757
_cell_angle_alpha 90.00
_cell_angle_beta 90.00
_cell_angle_gamma 90.00
loop_
_symmetry_equiv_pos_as_xyz
'x,y,z'
loop_
_atom_site_label
_atom_site_type_symbol
_atom_site_fract_x
_atom_site_fract_y
_atom_site_fract_z
Co1 Co 0.000 0.000 0.015
Co2 Co 0.000 0.000 0.485
Li1 Li 0.500 0.500 0.250
Mo1 Mo 0.500 0.500 0.750

# CaTb4Tm (PBE-GGA, optimized geometry)
# Crystal system   cubic
# Energy of formation from the pure elements   128 kJ/mol of formula units
# Space group   F-43m
data_CaTb4Tm
_symmetry_space_group_name_H-M 'P 1'
_symmetry_Int_Tables_number 1
_cell_length_a 6.636
_cell_length_b 6.636
_cell_length_c 6.636
_cell_angle_alpha 60.00
_cell_angle_beta 60.00
_cell_angle_gamma 60.00
loop_
_symmetry_equiv_pos_as_xyz
'x,y,z'
loop_
_atom_site_label
_atom_site_type_symbol
_atom_site_fract_x
_atom_site_fract_y
_atom_site_fract_z
Ca1 Ca 0.250 0.250 0.250
Tm1 Tm 0.000 0.000 0.000
Tb1 Tb 0.627 0.627 0.120
Tb2 Tb 0.627 0.120 0.627
Tb3 Tb 0.627 0.627 0.627
Tb4 Tb 0.120 0.627 0.627

# Y2MnZn (PBE-GGA, optimized geometry)
# Crystal system   cubic
# Energy of formation from the pure elements   71 kJ/mol of formula units
# Space group   F-43m
data_Y2MnZn
_symmetry_space_group_name_H-M 'P 1'
_symmetry_Int_Tables_number 1
_cell_length_a 4.941
_cell_length_b 4.941
_cell_length_c 4.941
_cell_angle_alpha 60.00
_cell_angle_beta 60.00
_cell_angle_gamma 60.00
loop_
_symmetry_equiv_pos_as_xyz
'x,y,z'
loop_
_atom_site_label
_atom_site_type_symbol
_atom_site_fract_x
_atom_site_fract_y
_atom_site_fract_z
Mn1 Mn 0.500 0.500 0.500
Y1 Y 0.000 0.000 0.000
Y2 Y 0.250 0.250 0.250
Zn1 Zn 0.750 0.750 0.750

# CaTc2Cl2 (PBE-GGA, optimized geometry)
# Crystal system   tetragonal
# E_form (uncorrected)   -0.007 eV per atom
# Space group   P4/mbm
data_CaTc2Cl2
_symmetry_space_group_name_H-M 'P 1'
_symmetry_Int_Tables_number 1
_cell_length_a 7.139
_cell_length_b 7.139
_cell_length_c 4.535
_cell_angle_alpha 90.00
_cell_angle_beta 90.00
_cell_angle_gamma 90.00
loop_
_symmetry_equiv_pos_as_xyz
'x,y,z'
loop_
_atom_site_label
_atom_site_type_symbol
_atom_site_fract_x
_atom_site_fract_y
_atom_site_fract_z
Ca1 Ca 0.000 0.000 0.000
Ca2 Ca 0.500 0.500 0.000
Tc1 Tc 0.107 0.607 0.500
Tc2 Tc 0.607 0.893 0.500
Tc3 Tc 0.893 0.393 0.500
Tc4 Tc 0.393 0.107 0.500
Cl1 Cl 0.164 0.664 0.000
Cl2 Cl 0.664 0.836 0.000
Cl3 Cl 0.836 0.336 0.000
Cl4 Cl 0.336 0.164 0.000

# CsK2NpBr8 (PBE-GGA, optimized geometry)
# Crystal system   monoclinic
# E_form (uncorrected)   -1.388 eV per atom
# Space group   P2/m
data_CsK2NpBr8
_symmetry_space_group_name_H-M 'P 1'
_symmetry_Int_Tables_number 1
_cell_length_a 6.671
_cell_length_b 7.713
_cell_length_c 10.542
_cell_angle_alpha 90.01
_cell_angle_beta 89.98
_cell_angle_gamma 109.76
loop_
_symmetry_equiv_pos_as_xyz
'x,y,z'
loop_
_atom_site_label
_atom_site_type_symbol
_atom_site_fract_x
_atom_site_fract_y
_atom_site_fract_z
Cs1 Cs 0.000 0.000 0.500
K1 K 0.499 0.500 0.742
K2 K 0.501 0.500 0.258
Np1 Np 0.000 0.000 0.000
Br1 Br 0.060 0.776 0.185
Br2 Br 0.581 0.788 0.000
Br3 Br 0.940 0.224 0.185
Br4 Br 0.940 0.224 0.815
Br5 Br 0.419 0.212 0.000
Br6 Br 0.060 0.776 0.815
Br7 Br 0.439 0.732 0.500
Br8 Br 0.561 0.268 0.500

# Pm5Sm5Er (PBE-GGA, optimized geometry)
# Crystal system   hexagonal
# Energy of formation from the pure elements   328 kJ/mol of formula units
# Space group   P-6m2
data_Pm5Sm5Er
_symmetry_space_group_name_H-M 'P 1'
_symmetry_Int_Tables_number 1
_cell_length_a 6.181
_cell_length_b 6.181
_cell_length_c 11.617
_cell_angle_alpha 90.00
_cell_angle_beta 90.00
_cell_angle_gamma 120.00
loop_
_symmetry_equiv_pos_as_xyz
'x,y,z'
loop_
_atom_site_label
_atom_site_type_symbol
_atom_site_fract_x
_atom_site_fract_y
_atom_site_fract_z
Pm1 Pm 0.339 0.169 0.500
Pm2 Pm 0.000 0.000 0.264
Pm3 Pm 0.831 0.661 0.500
Pm4 Pm 0.831 0.169 0.500
Pm5 Pm 0.000 0.000 0.736
Sm1 Sm 0.667 0.333 0.157
Sm2 Sm 0.667 0.333 0.843
Sm3 Sm 0.333 0.667 0.317
Sm4 Sm 0.333 0.667 0.683
Sm5 Sm 0.000 0.000 0.000
Er1 Er 0.333 0.667 0.000

# LaTc2Rh (PBE-GGA, optimized geometry)
# Crystal system   cubic
# Energy of formation from the pure elements   108 kJ/mol of formula units
# Space group   F-43m
data_LaTc2Rh
_symmetry_space_group_name_H-M 'P 1'
_symmetry_Int_Tables_number 1
_cell_length_a 4.666
_cell_length_b 4.666
_cell_length_c 4.666
_cell_angle_alpha 60.00
_cell_angle_beta 60.00
_cell_angle_gamma 60.00
loop_
_symmetry_equiv_pos_as_xyz
'x,y,z'
loop_
_atom_site_label
_atom_site_type_symbol
_atom_site_fract_x
_atom_site_fract_y
_atom_site_fract_z
La1 La 0.500 0.500 0.500
Rh1 Rh 0.250 0.250 0.250
Tc1 Tc 0.000 0.000 0.000
Tc2 Tc 0.750 0.750 0.750

# PrThOs4 (PBE-GGA, optimized geometry)
# Crystal system   cubic
# Energy of formation from the pure elements   -85 kJ/mol of formula units
# Space group   F-43m
data_PrThOs4
_symmetry_space_group_name_H-M 'P 1'
_symmetry_Int_Tables_number 1
_cell_length_a 5.462
_cell_length_b 5.462
_cell_length_c 5.462
_cell_angle_alpha 60.00
_cell_angle_beta 60.00
_cell_angle_gamma 60.00
loop_
_symmetry_equiv_pos_as_xyz
'x,y,z'
loop_
_atom_site_label
_atom_site_type_symbol
_atom_site_fract_x
_atom_site_fract_y
_atom_site_fract_z
Pr1 Pr 0.250 0.250 0.250
Os1 Os 0.625 0.625 0.125
Os2 Os 0.625 0.125 0.625
Os3 Os 0.625 0.625 0.625
Os4 Os 0.125 0.625 0.625
Th1 Th 0.000 0.000 0.000

# Ce2ThAg2Pb2 (PBE-GGA, optimized geometry)
# Crystal system   trigonal
# Energy of formation from the pure elements   -88 kJ/mol of formula units
# Space group   R-3m
data_Ce2ThAg2Pb2
_symmetry_space_group_name_H-M 'P 1'
_symmetry_Int_Tables_number 1
_cell_length_a 4.833
_cell_length_b 4.833
_cell_length_c 9.571
_cell_angle_alpha 75.38
_cell_angle_beta 75.38
_cell_angle_gamma 60.00
loop_
_symmetry_equiv_pos_as_xyz
'x,y,z'
loop_
_atom_site_label
_atom_site_type_symbol
_atom_site_fract_x
_atom_site_fract_y
_atom_site_fract_z
Ce1 Ce 0.144 0.144 0.568
Ce2 Ce 0.856 0.856 0.432
Th1 Th 0.000 0.000 0.000
Ag1 Ag 0.571 0.571 0.288
Ag2 Ag 0.429 0.429 0.712
Pb1 Pb 0.731 0.731 0.808
Pb2 Pb 0.269 0.269 0.192

# Rb4Y3PaTe8 (PBE-GGA, optimized geometry)
# Crystal system   trigonal
# E_form (uncorrected)   -1.262 eV per atom
# Space group   R-3m
data_Rb4Y3PaTe8
_symmetry_space_group_name_H-M 'P 1'
_symmetry_Int_Tables_number 1
_cell_length_a 9.035
_cell_length_b 10.061
_cell_length_c 9.035
_cell_angle_alpha 116.68
_cell_angle_beta 120.00
_cell_angle_gamma 90.00
loop_
_symmetry_equiv_pos_as_xyz
'x,y,z'
loop_
_atom_site_label
_atom_site_type_symbol
_atom_site_fract_x
_atom_site_fract_y
_atom_site_fract_z
Rb1 Rb 0.500 0.000 0.000
Rb2 Rb 0.500 0.000 0.500
Rb3 Rb 0.000 0.000 0.000
Rb4 Rb 0.000 0.000 0.500
Y1 Y 0.500 0.500 0.000
Y2 Y 0.500 0.500 0.500
Y3 Y 0.000 0.500 0.500
Pa1 Pa 0.000 0.500 0.000
Te1 Te 0.235 0.702 0.967
Te2 Te 0.235 0.702 0.469
Te3 Te 0.267 0.300 0.533
Te4 Te 0.733 0.702 0.967
Te5 Te 0.267 0.298 0.033
Te6 Te 0.733 0.700 0.467
Te7 Te 0.765 0.298 0.531
Te8 Te 0.765 0.298 0.033

# Sr2AlCd4Ag3 (PBE-GGA, optimized geometry)
# Crystal system   tetragonal
# Energy of formation from the pure elements   -195 kJ/mol of formula units
# Space group   P-4m2
data_Sr2AlCd4Ag3
_symmetry_space_group_name_H-M 'P 1'
_symmetry_Int_Tables_number 1
_cell_length_a 4.439
_cell_length_b 4.439
_cell_length_c 12.851
_cell_angle_alpha 90.00
_cell_angle_beta 90.00
_cell_angle_gamma 90.00
loop_
_symmetry_equiv_pos_as_xyz
'x,y,z'
loop_
_atom_site_label
_atom_site_type_symbol
_atom_site_fract_x
_atom_site_fract_y
_atom_site_fract_z
Sr1 Sr 0.500 0.000 0.250
Sr2 Sr 0.000 0.500 0.750
Al1 Al 0.500 0.500 0.500
Cd1 Cd 0.500 0.500 0.000
Cd2 Cd 0.000 0.000 0.000
Cd3 Cd 0.500 0.000 0.638
Cd4 Cd 0.000 0.500 0.362
Ag1 Ag 0.000 0.000 0.500
Ag2 Ag 0.500 0.000 0.854
Ag3 Ag 0.000 0.500 0.146

# AcSmAu (PBE-GGA, optimized geometry)
# Crystal system   orthorhombic
# Energy of formation from the pure elements   -151 kJ/mol of formula units
# Space group   Amm2
data_AcSmAu
_symmetry_space_group_name_H-M 'P 1'
_symmetry_Int_Tables_number 1
_cell_length_a 7.707
_cell_length_b 9.661
_cell_length_c 9.661
_cell_angle_alpha 64.07
_cell_angle_beta 66.49
_cell_angle_gamma 66.49
loop_
_symmetry_equiv_pos_as_xyz
'x,y,z'
loop_
_atom_site_label
_atom_site_type_symbol
_atom_site_fract_x
_atom_site_fract_y
_atom_site_fract_z
Ac1 Ac 0.158 0.051 0.551
Ac2 Ac 0.760 0.949 0.449
Ac3 Ac 0.364 0.750 0.250
Ac4 Ac 0.364 0.250 0.750
Ac5 Ac 0.760 0.449 0.949
Ac6 Ac 0.158 0.551 0.051
Sm1 Sm 0.017 0.000 0.000
Sm2 Sm 0.017 0.500 0.500
Sm3 Sm 0.744 0.370 0.370
Sm4 Sm 0.485 0.630 0.630
Sm5 Sm 0.485 0.130 0.130
Sm6 Sm 0.744 0.870 0.870
Au1 Au 0.777 0.250 0.750
Au2 Au 0.777 0.750 0.250
Au3 Au 0.066 0.171 0.171
Au4 Au 0.408 0.829 0.829
Au5 Au 0.408 0.329 0.329
Au6 Au 0.066 0.671 0.671

Number 1: calculated total energy -6.55 eV/atom, calculated density 7.66 Mg/m³. Number 2: calculated total energy -3.95 eV/atom, calculated density 6.79 Mg/m³. Number 3: calculated total energy -5.66 eV/atom, calculated density 5.80 Mg/m³. Number 4: calculated total energy -5.29 eV/atom, calculated density 4.41 Mg/m³. Number 5: calculated total energy -3.84 eV/atom, calculated density 3.54 Mg/m³. Number 6: calculated total energy -4.41 eV/atom, calculated density 7.10 Mg/m³. Number 7: calculated total energy -7.97 eV/atom, calculated density 10.12 Mg/m³. Number 8: calculated total energy -9.67 eV/atom, calculated density 16.34 Mg/m³. Number 9: calculated total energy -4.76 eV/atom, calculated density 10.24 Mg/m³. Number 10: calculated total energy -4.88 eV/atom, calculated density 5.08 Mg/m³. Number 11: calculated total energy -2.13 eV/atom, calculated density 6.40 Mg/m³. Number 12: calculated total energy -4.56 eV/atom, calculated density 10.02 Mg/m³.